DFT (meta-GGA SCAN) results for a PBEsol-optimized structure of Ta2AsOs.

Values from the calculation:
The value obtained for the energy of formation is -40 kJ/mol of formula units.

Lattice parameters (Å, degrees): 3.735 3.735 9.152 90.00 90.00 90.00
Space group I-4m2 (No. 119)
Symmetry-distinct sites (fractional):
Ta  0.000  0.000  0.000 [2 per cell]
Ta  0.000  0.500  0.250 [2 per cell]
As  0.000  0.000  0.500 [2 per cell]
Os  0.000  0.500  0.750 [2 per cell]


DFT (meta-GGA SCAN) results for a PBEsol-optimized structure of CdCuOs.

Values from the calculation:
The value obtained for the energy of formation is 125 kJ/mol of formula units.

Lattice parameters (Å, degrees): 2.7544 2.7544 6.7206 90.00 90.00 120.00
Space group P3m1 (No. 156)
Symmetry-distinct sites (fractional):
Cd  0.0000  0.0000  0.0000 [1 per cell]
Cu  0.3333  0.6667  0.6635 [1 per cell]
Os  0.6667  0.3333  0.3594 [1 per cell]


DFT (meta-GGA SCAN) results for a PBEsol-optimized structure of CdTeMo2.

Values from the calculation:
The formation energy from raw total energies comes out at 2.00 eV per formula unit.

Lattice parameters (Å, degrees): 9.966 3.253 4.916 90.00 111.67 90.00
Space group Cm (No. 8)
Symmetry-distinct sites (fractional):
Cd  0.000  0.000  0.000 [2 per cell]
Te  0.283  0.500  0.343 [2 per cell]
Mo  0.049  0.500  0.538 [2 per cell]
Mo  0.241  0.000  0.833 [2 per cell]


DFT (meta-GGA SCAN) results for a PBEsol-optimized structure of ZrTcW2.

Values from the calculation:
The value obtained for the energy of formation is -8 kJ/mol of formula units.

Lattice parameters (Å, degrees): 3.181 4.566 8.985 90.00 90.00 90.00
Space group Imm2 (No. 44)
Symmetry-distinct sites (fractional):
Zr  0.000  0.000  0.000 [2 per cell]
Tc  0.000  0.500  0.247 [2 per cell]
W  0.000  0.000  0.504 [2 per cell]
W  0.000  0.500  0.760 [2 per cell]


DFT (meta-GGA SCAN) results for a PBEsol-optimized structure of ReAsIrSe2.

Values from the calculation:
The formation energy from raw total energies comes out at 7.16 eV per formula unit.

Lattice parameters (Å, degrees): 4.699 4.699 4.720 90.00 90.00 90.00
Space group P4/mmm (No. 123)
Symmetry-distinct sites (fractional):
Re  0.000  0.000  0.000 [1 per cell]
As  0.000  0.000  0.500 [1 per cell]
Ir  0.500  0.500  0.500 [1 per cell]
Se  0.000  0.500  0.000 [2 per cell]


DFT (meta-GGA SCAN) results for a PBEsol-optimized structure of LiRePb2.

Values from the calculation:
The value obtained for the energy of formation is 226 kJ/mol of formula units.

Lattice parameters (Å, degrees): 4.793 4.793 6.722 90.00 90.00 90.00
Space group I4/mmm (No. 139)
Symmetry-distinct sites (fractional):
Li  0.000  0.000  0.000 [2 per cell]
Re  0.000  0.000  0.500 [2 per cell]
Pb  0.000  0.500  0.250 [4 per cell]


DFT (meta-GGA SCAN) results for a PBEsol-optimized structure of CuWSe.

Values from the calculation:
The formation energy from raw total energies comes out at 1.20 eV per formula unit.

Lattice parameters (Å, degrees): 3.0100 3.0100 6.0387 90.00 90.00 120.00
Space group P3m1 (No. 156)
Symmetry-distinct sites (fractional):
Cu  0.0000  0.0000  0.0000 [1 per cell]
W  0.6667  0.3333  0.3346 [1 per cell]
Se  0.3333  0.6667  0.6336 [1 per cell]


DFT (meta-GGA SCAN) results for a PBEsol-optimized structure of TlBS3.

Values from the calculation:
The formation energy from raw total energies comes out at -2.26 eV per formula unit.

Lattice parameters (Å, degrees): 7.068 12.170 5.832 90.00 113.67 90.00
Space group P2_1/c (No. 14)
Symmetry-distinct sites (fractional):
Tl  0.248  0.090  0.225 [4 per cell]
B  0.300  0.730  0.359 [4 per cell]
S  0.059  0.682  0.831 [4 per cell]
S  0.190  0.599  0.172 [4 per cell]
S  0.463  0.699  0.703 [4 per cell]


DFT (meta-GGA SCAN) results for a PBEsol-optimized structure of BaZrRu2.

Values from the calculation:
The value obtained for the energy of formation is 298 kJ/mol of formula units.

Lattice parameters (Å, degrees): 6.705 6.705 6.705 90.00 90.00 90.00
Space group F-43m (No. 216)
Symmetry-distinct sites (fractional):
Ba  0.000  0.000  0.000 [4 per cell]
Zr  0.250  0.250  0.750 [4 per cell]
Ru  0.000  0.000  0.500 [4 per cell]
Ru  0.250  0.250  0.250 [4 per cell]


DFT (meta-GGA SCAN) results for a PBEsol-optimized structure of ZrReSi3.

Values from the calculation:
The formation energy from raw total energies comes out at 3.52 eV per formula unit.

Lattice parameters (Å, degrees): 4.595 4.595 4.595 90.00 90.00 90.00
Space group Pm-3m (No. 221)
Symmetry-distinct sites (fractional):
Zr  0.000  0.000  0.000 [1 per cell]
Re  0.500  0.500  0.500 [1 per cell]
Si  0.000  0.500  0.500 [3 per cell]


DFT (meta-GGA SCAN) results for a PBEsol-optimized structure of MnCoCu2.

Values from the calculation:
The value obtained for the energy of formation is -8 kJ/mol of formula units.

Lattice parameters (Å, degrees): 2.893 2.908 5.374 90.00 90.00 90.00
Space group Pmm2 (No. 25)
Symmetry-distinct sites (fractional):
Mn  0.000  0.000  0.000 [1 per cell]
Co  0.500  0.500  0.770 [1 per cell]
Cu  0.000  0.000  0.512 [1 per cell]
Cu  0.500  0.500  0.269 [1 per cell]


DFT (meta-GGA SCAN) results for a PBEsol-optimized structure of CuP2BrCl.

Values from the calculation:
The formation energy from raw total energies comes out at 3.21 eV per formula unit.

Lattice parameters (Å, degrees): 4.562 4.562 4.538 90.00 90.00 90.00
Space group P4/mmm (No. 123)
Symmetry-distinct sites (fractional):
Cu  0.000  0.000  0.000 [1 per cell]
P  0.000  0.500  0.000 [2 per cell]
Br  0.500  0.500  0.500 [1 per cell]
Cl  0.000  0.000  0.500 [1 per cell]


DFT (meta-GGA SCAN) results for a PBEsol-optimized structure of Ca2SiP.

Values from the calculation:
The formation energy from raw total energies comes out at -2.41 eV per formula unit.

Lattice parameters (Å, degrees): 3.567 4.538 10.497 90.00 90.00 90.00
Space group Imm2 (No. 44)
Symmetry-distinct sites (fractional):
Ca  0.000  0.000  0.000 [2 per cell]
Ca  0.000  0.500  0.229 [2 per cell]
Si  0.000  0.500  0.789 [2 per cell]
P  0.000  0.000  0.450 [2 per cell]


DFT (meta-GGA SCAN) results for a PBEsol-optimized structure of SrAl2.

Values from the calculation:
The value obtained for the energy of formation is -78 kJ/mol of formula units.

Lattice parameters (Å, degrees): 4.452 4.452 7.742 90.00 90.00 90.00
Space group P4/nmm (No. 129, origin choice 2)
Symmetry-distinct sites (fractional):
Sr  0.250  0.250  0.175 [2 per cell]
Al  0.250  0.250  0.707 [2 per cell]
Al  0.250  0.750  0.500 [2 per cell]


DFT (meta-GGA SCAN) results for a PBEsol-optimized structure of Li2YCd.

Values from the calculation:
The value obtained for the energy of formation is -59 kJ/mol of formula units.

Lattice parameters (Å, degrees): 3.477 3.477 7.273 90.00 90.00 90.00
Space group P4mm (No. 99)
Symmetry-distinct sites (fractional):
Li  0.000  0.000  0.000 [1 per cell]
Li  0.500  0.500  0.210 [1 per cell]
Y  0.000  0.000  0.521 [1 per cell]
Cd  0.500  0.500  0.792 [1 per cell]


DFT (meta-GGA SCAN) results for a PBEsol-optimized structure of Ti6In2Si2P12O49.

Values from the calculation:
The formation energy from raw total energies comes out at -193.31 eV per formula unit.

Lattice parameters (Å, degrees): 8.5272 8.5272 44.8019 90.00 90.00 120.00
Space group R-3 (No. 148, hexagonal axes)
Symmetry-distinct sites (fractional):
Ti  0.0000  0.0000  0.0696 [6 per cell]
Ti  0.0000  0.0000  0.2436 [6 per cell]
Ti  0.0000  0.0000  0.3440 [6 per cell]
In  0.0000  0.0000  0.1729 [6 per cell]
Si  0.0000  0.0000  0.4642 [6 per cell]
P  0.9998  0.2938  0.8774 [18 per cell]
P  0.0010  0.7154  0.2928 [18 per cell]
O  0.0000  0.0000  0.5000 [3 per cell]
O  0.0023  0.8161  0.0962 [18 per cell]
O  0.0040  0.8162  0.9531 [18 per cell]
O  0.0142  0.8311  0.4508 [18 per cell]
O  0.0314  0.8309  0.2638 [18 per cell]
O  0.0374  0.8478  0.7902 [18 per cell]
O  0.0386  0.8017  0.1527 [18 per cell]
O  0.0540  0.2076  0.3678 [18 per cell]
O  0.0576  0.2065  0.6819 [18 per cell]


DFT (meta-GGA SCAN) results for a PBEsol-optimized structure of BeCdNi2.

Values from the calculation:
The value obtained for the energy of formation is 36 kJ/mol of formula units.

Lattice parameters (Å, degrees): 5.366 6.476 2.782 90.00 90.00 90.00
Space group Cmmm (No. 65)
Symmetry-distinct sites (fractional):
Be  0.000  0.000  0.000 [2 per cell]
Cd  0.000  0.500  0.000 [2 per cell]
Ni  0.250  0.250  0.500 [4 per cell]


DFT (meta-GGA SCAN) results for a PBEsol-optimized structure of Sb2PtN.

Values from the calculation:
The formation energy from raw total energies comes out at 0.75 eV per formula unit.

Lattice parameters (Å, degrees): 5.559 5.559 10.813 90.00 90.00 90.00
Space group I-42d (No. 122)
Symmetry-distinct sites (fractional):
Sb  0.202  0.250  0.125 [8 per cell]
Pt  0.000  0.000  0.500 [4 per cell]
N  0.000  0.000  0.000 [4 per cell]


DFT (meta-GGA SCAN) results for a PBEsol-optimized structure of NiB2W2.

Values from the calculation:
The value obtained for the energy of formation is -195 kJ/mol of formula units.

Lattice parameters (Å, degrees): 3.183 4.533 7.048 90.00 90.00 90.00
Space group Immm (No. 71)
Symmetry-distinct sites (fractional):
Ni  0.000  0.000  0.000 [2 per cell]
B  0.000  0.204  0.500 [4 per cell]
W  0.000  0.500  0.201 [4 per cell]


DFT (meta-GGA SCAN) results for a PBEsol-optimized structure of SrMnSi3.

Values from the calculation:
The formation energy from raw total energies comes out at -0.01 eV per formula unit.

Lattice parameters (Å, degrees): 4.489 4.489 4.489 90.00 90.00 90.00
Space group Pm-3m (No. 221)
Symmetry-distinct sites (fractional):
Sr  0.000  0.000  0.000 [1 per cell]
Mn  0.500  0.500  0.500 [1 per cell]
Si  0.000  0.500  0.500 [3 per cell]


The following E values (in eV/atom) correspond, in order, to the records above: -56.412; -38.733; -33.858; -51.303; -39.077; -55.677; -34.588; -22.186; -34.202; -25.665; -16.510; -12.046; -10.537; -12.862; -15.912; -11.358; -16.685; -38.314; -34.486; -14.117.
The following Fermi-level density of states values (in states/eV/f.u.) correspond, in order, to the records above: 1.62; 2.08; 2.60; 1.92; 4.00; 3.39; 2.17; 0.00; 4.63; 5.18; 1.78; 3.03; 1.43; 0.64; 3.11; 0.00; 1.26; 1.29; 1.38; 2.02.